PBE-GGA HfTi2Bi2, optimized geometry; DFT total energy = -65.96 eV per cell; density = 10384 kg/m3; DOS at the Fermi energy = 1.1242 states/eV/atom; formation enthalpy at 0 K = 0.105 eV per atom; energy above the lowest structure with this stoichiometry = 124 meV per atom
1.0
7.799 0.000 0.000
0.000 7.799 0.000
0.000 0.000 3.639
Hf Ti Bi
2 4 4
Cartesian
0.000 0.000 0.000
3.900 3.900 0.000
0.979 2.921 0.000
2.921 6.821 0.000
4.878 0.979 0.000
6.821 4.878 0.000
1.341 5.240 1.820
2.559 1.341 1.820
5.240 6.459 1.820
6.459 2.559 1.820